{"formula": "ZnAg", "functional": "GGA-PBEsol", "state": "relaxed", "sg": "P4/nmm, No. 129", "vol_a3_per_atom": 15.16, "formation_enthalpy_0k_ev_per_atom": -0.04, "total_magnetization_mub_per_fu": 0.000, "lattice": [[2.9013, 0.0000, 0.0000], [0.0000, 2.9013, 0.0000], [0.0000, 0.0000, 7.2051]], "species": ["Zn", "Zn", "Ag", "Ag"], "frac_coords": [[0.2500, 0.2500, 0.1144], [0.7500, 0.7500, 0.8856], [0.2500, 0.2500, 0.6395], [0.7500, 0.7500, 0.3605]]}



{"formula": "Zn3Ag2", "functional": "GGA-PBEsol", "state": "relaxed", "sg": "Fdd2, No. 43", "vol_a3_per_atom": 14.90, "e_above_lowest_polymorph_mev_per_atom": 8, "formation_enthalpy_0k_ev_per_atom": -0.04, "total_magnetization_mub_per_fu": 0.000, "lattice": [[0.0000, 6.4711, 2.5414], [4.5307, 0.0000, 2.5414], [4.5307, 6.4711, 0.0000]], "species": ["Zn", "Zn", "Zn", "Zn", "Zn", "Zn", "Ag", "Ag", "Ag", "Ag"], "frac_coords": [[0.0000, 0.0000, 0.0000], [0.2500, 0.2500, 0.2500], [0.3925, 0.4999, 0.4065], [0.4999, 0.3925, 0.7011], [0.5489, 0.8435, 0.7501], [0.8435, 0.5489, 0.8575], [0.0773, 0.7509, 0.3188], [0.3970, 0.9312, 0.4991], [0.7509, 0.0773, 0.8530], [0.9312, 0.3970, 0.1727]]}



{"formula": "Zn3Ag4", "functional": "GGA-PBEsol", "state": "relaxed", "sg": "P6/mmm, No. 191", "vol_a3_per_atom": 15.53, "e_above_lowest_polymorph_mev_per_atom": 40, "formation_enthalpy_0k_ev_per_atom": 0.00, "total_magnetization_mub_per_fu": 0.000, "lattice": [[4.9018, 0.0000, 0.0000], [-2.4509, 4.2451, 0.0000], [0.0000, 0.0000, 5.2251]], "species": ["Zn", "Zn", "Zn", "Ag", "Ag", "Ag", "Ag"], "frac_coords": [[0.0000, 0.5000, 0.0000], [0.5000, 0.0000, 0.0000], [0.5000, 0.5000, 0.0000], [0.0000, 0.0000, 0.2548], [0.0000, 0.0000, 0.7452], [0.3333, 0.6667, 0.5000], [0.6667, 0.3333, 0.5000]]}



{"formula": "Zn4Ag", "functional": "GGA-PBEsol", "state": "relaxed", "sg": "I4/m, No. 87", "vol_a3_per_atom": 14.40, "e_above_lowest_polymorph_mev_per_atom": 3, "formation_enthalpy_0k_ev_per_atom": -0.01, "total_magnetization_mub_per_fu": 0.000, "lattice": [[-3.0831, 3.0831, 1.8937], [3.0831, -3.0831, 1.8937], [3.0831, 3.0831, -1.8937]], "species": ["Zn", "Zn", "Zn", "Zn", "Ag"], "frac_coords": [[0.0976, 0.3049, 0.4025], [0.3049, 0.9024, 0.2073], [0.6951, 0.0976, 0.7927], [0.9024, 0.6951, 0.5975], [0.5000, 0.5000, 0.0000]]}



{"formula": "ZnAg3", "functional": "GGA-PBEsol", "state": "relaxed", "sg": "P-6m2, No. 187", "vol_a3_per_atom": 15.93, "formation_enthalpy_0k_ev_per_atom": -0.02, "total_magnetization_mub_per_fu": 0.000, "lattice": [[2.8723, 0.0000, 0.0000], [-1.4362, 2.4875, 0.0000], [0.0000, 0.0000, 8.9207]], "species": ["Zn", "Ag", "Ag", "Ag"], "frac_coords": [[0.0000, 0.0000, 0.0000], [0.0000, 0.0000, 0.5000], [0.3333, 0.6667, 0.2393], [0.3333, 0.6667, 0.7607]]}



{"formula": "ZnAg4", "functional": "GGA-PBEsol", "state": "relaxed", "sg": "R-3m, No. 166", "vol_a3_per_atom": 16.05, "e_above_lowest_polymorph_mev_per_atom": 10, "formation_enthalpy_0k_ev_per_atom": -0.02, "total_magnetization_mub_per_fu": 0.000, "lattice": [[1.4332, 0.8275, 11.2783], [-1.4332, 0.8275, 11.2783], [0.0000, -1.6549, 11.2783]], "species": ["Zn", "Ag", "Ag", "Ag", "Ag"], "frac_coords": [[0.0000, 0.0000, 0.0000], [0.2010, 0.2010, 0.2010], [0.3966, 0.3966, 0.3966], [0.6034, 0.6034, 0.6034], [0.7990, 0.7990, 0.7990]]}